Entry P
{"formula": "LiUPd6", "functional": "PBE", "state": "relaxed", "cell": [[4.092, 0.000, 0.000], [0.000, 4.092, 0.000], [0.000, 0.000, 7.752]], "species": ["Li", "U", "Pd", "Pd", "Pd", "Pd", "Pd", "Pd"], "fractional_positions": [[0.000, 0.000, 0.000], [0.000, 0.000, 0.500], [0.000, 0.500, 0.246], [0.000, 0.500, 0.754], [0.500, 0.000, 0.246], [0.500, 0.000, 0.754], [0.500, 0.500, 0.000], [0.500, 0.500, 0.500]], "spacegroup": "No. 123"}



Entry Q
{"formula": "LiUPd6", "functional": "PBE", "state": "relaxed", "cell": [[2.716, 1.568, 6.690], [-2.716, 1.568, 6.690], [0.000, -3.136, 6.690]], "species": ["Li", "U", "Pd", "Pd", "Pd", "Pd", "Pd", "Pd"], "fractional_positions": [[0.000, 0.000, 0.000], [0.500, 0.500, 0.500], [0.060, 0.571, 0.571], [0.429, 0.429, 0.940], [0.429, 0.940, 0.429], [0.571, 0.060, 0.571], [0.571, 0.571, 0.060], [0.940, 0.429, 0.429]], "spacegroup": "No. 166"}



Relative energies in meV per atom: entry P 0; entry Q 460



Entry P
{"formula": "LiV3Pd", "functional": "PBE", "state": "relaxed", "cell": [[4.825, 0.000, 0.000], [0.000, 4.825, 0.000], [0.000, 0.000, 4.825]], "species": ["Li", "V", "V", "V", "Pd"], "fractional_positions": [[0.000, 0.000, 0.000], [0.000, 0.500, 0.500], [0.500, 0.000, 0.500], [0.500, 0.500, 0.000], [0.500, 0.500, 0.500]], "spacegroup": "No. 221"}



Entry Q
{"formula": "LiV3Pd", "functional": "PBE", "state": "relaxed", "cell": [[4.111, 0.000, 0.000], [0.000, 4.111, 0.000], [0.000, 0.000, 4.111]], "species": ["Li", "V", "V", "V", "Pd"], "fractional_positions": [[0.000, 0.000, 0.000], [0.000, 0.000, 0.500], [0.000, 0.500, 0.000], [0.500, 0.000, 0.000], [0.500, 0.500, 0.500]], "spacegroup": "No. 221"}



Relative energies in meV per atom: entry P 155; entry Q 0



Entry P
{"formula": "Li2VPd", "functional": "PBE", "state": "relaxed", "cell": [[7.006, 0.000, 0.000], [0.000, 7.006, 0.000], [0.000, 0.000, 5.114]], "species": ["Li", "Li", "Li", "Li", "Li", "Li", "Li", "Li", "V", "V", "V", "V", "Pd", "Pd", "Pd", "Pd"], "fractional_positions": [[0.229, 0.750, 0.125], [0.250, 0.229, 0.875], [0.250, 0.271, 0.375], [0.271, 0.750, 0.625], [0.729, 0.250, 0.625], [0.750, 0.729, 0.375], [0.750, 0.771, 0.875], [0.771, 0.250, 0.125], [0.000, 0.000, 0.500], [0.000, 0.500, 0.750], [0.500, 0.000, 0.250], [0.500, 0.500, 0.000], [0.000, 0.000, 0.000], [0.000, 0.500, 0.250], [0.500, 0.000, 0.750], [0.500, 0.500, 0.500]], "spacegroup": "No. 122"}



Entry Q
{"formula": "Li2VPd", "functional": "PBE", "state": "relaxed", "cell": [[6.131, 0.000, 0.000], [0.000, 6.131, 0.000], [0.000, 0.000, 6.131]], "species": ["Li", "Li", "Li", "Li", "Li", "Li", "Li", "Li", "V", "V", "V", "V", "Pd", "Pd", "Pd", "Pd"], "fractional_positions": [[0.250, 0.250, 0.250], [0.250, 0.250, 0.750], [0.250, 0.750, 0.250], [0.250, 0.750, 0.750], [0.750, 0.250, 0.250], [0.750, 0.250, 0.750], [0.750, 0.750, 0.250], [0.750, 0.750, 0.750], [0.000, 0.000, 0.000], [0.000, 0.500, 0.500], [0.500, 0.000, 0.500], [0.500, 0.500, 0.000], [0.000, 0.000, 0.500], [0.000, 0.500, 0.000], [0.500, 0.000, 0.000], [0.500, 0.500, 0.500]], "spacegroup": "No. 225"}



Entry R
{"formula": "Li2VPd", "functional": "PBE", "state": "relaxed", "cell": [[2.664, 0.000, 0.000], [-1.332, 2.307, 0.000], [0.000, 0.000, 28.800]], "species": ["Li", "Li", "Li", "Li", "Li", "Li", "V", "V", "V", "Pd", "Pd", "Pd"], "fractional_positions": [[0.000, 0.000, 0.092], [0.000, 0.000, 0.908], [0.333, 0.667, 0.575], [0.333, 0.667, 0.758], [0.667, 0.333, 0.242], [0.667, 0.333, 0.425], [0.000, 0.000, 0.000], [0.333, 0.667, 0.667], [0.667, 0.333, 0.333], [0.000, 0.000, 0.500], [0.333, 0.667, 0.167], [0.667, 0.333, 0.833]], "spacegroup": "No. 166"}



Relative energies in meV per atom: entry P 246; entry Q 91; entry R 0